Entry 1:
! Er2HgPt | the Alexandria database | PBE | optimized geometry; values from VASP
! E, hartree per atom: -0.1718
! Total magnetic moment, μB per formula unit: 0.0
! Energy relative to the elements, eV/atom: -0.8080
! Crystal system: trigonal
! Energy above the lowest structure with this stoichiometry, eV/atom: 0.079
! Mass density, kg/m³: 11535
! SG: R-3m, No. 166
&SYSTEM
  ibrav = 0, nat = 4, ntyp = 3
/
ATOMIC_SPECIES
Hg 200.59 Hg.upf
Er 167.26 Er.upf
Pt 195.08 Pt.upf
CELL_PARAMETERS angstrom
-3.6217 1.7090 0.5692
-3.3575 -1.9516 -1.1314
-2.7570 -3.2266 6.5170
ATOMIC_POSITIONS angstrom
Hg -4.8682 -1.7346 2.9774
Er -7.3204 -2.7349 4.7495
Er -2.4159 -0.7344 1.2054
Pt 0.0000 0.0000 0.0000



Entry 2:
! ErHgPt2 | the Alexandria database | PBE | optimized geometry; values from VASP
! E, hartree per atom: -0.1842
! Total magnetic moment, μB per formula unit: 0.0
! Energy relative to the elements, eV/atom: -0.7750
! Crystal system: tetragonal
! Energy above the lowest structure with this stoichiometry, eV/atom: 0.000
! Mass density, kg/m³: 16225
! SG: P4/mmm, No. 123
&SYSTEM
  ibrav = 0, nat = 4, ntyp = 3
/
ATOMIC_SPECIES
Hg 200.59 Hg.upf
Pt 195.08 Pt.upf
Er 167.26 Er.upf
CELL_PARAMETERS angstrom
-0.9320 0.7261 -3.4043
-2.4007 -2.6861 0.0843
-4.1790 3.7964 1.9538
ATOMIC_POSITIONS angstrom
Hg -3.7558 0.9182 -0.6831
Pt -3.1264 2.8401 1.4616
Pt -1.0527 0.9563 0.4921
Er -1.6663 -0.9800 -1.6600



> mass density of number 2 (ErHgPt2)?

16225 kg/m³



Copy entry 2 word for word.
! ErHgPt2 | the Alexandria database | PBE | optimized geometry; values from VASP
! E, hartree per atom: -0.1842
! Total magnetic moment, μB per formula unit: 0.0
! Energy relative to the elements, eV/atom: -0.7750
! Crystal system: tetragonal
! Energy above the lowest structure with this stoichiometry, eV/atom: 0.000
! Mass density, kg/m³: 16225
! SG: P4/mmm, No. 123
&SYSTEM
  ibrav = 0, nat = 4, ntyp = 3
/
ATOMIC_SPECIES
Hg 200.59 Hg.upf
Pt 195.08 Pt.upf
Er 167.26 Er.upf
CELL_PARAMETERS angstrom
-0.9320 0.7261 -3.4043
-2.4007 -2.6861 0.0843
-4.1790 3.7964 1.9538
ATOMIC_POSITIONS angstrom
Hg -3.7558 0.9182 -0.6831
Pt -3.1264 2.8401 1.4616
Pt -1.0527 0.9563 0.4921
Er -1.6663 -0.9800 -1.6600



> E of number 2 (ErHgPt2)?

-0.1842 hartree per atom